No. 1
Crystalline DyCdPt at its relaxed geometry. Source: Alexandria via LeMat-Bulk, functional PBE-GGA.

Lattice parameters (Å, degrees): 3.699 3.699 5.369 110.15 110.15 90.00
Sites, in units of the cell vectors:
Cd: 0.622 0.622 0.245
Pt: 0.291 0.291 0.582
Dy: 0.937 0.937 0.873

Values from the calculation:
As for the energy: -13.84 eV for the cell shown. Its formation energy is -2.287 eV/f.u. As for the space group: I4mm. The spin magnetization comes out at 0.00 μB/cell. The crystal system is tetragonal.



No. 2
Crystalline DyCdPt at its relaxed geometry. Source: Alexandria via LeMat-Bulk, functional PBE-GGA.

Lattice parameters (Å, degrees): 3.465 4.692 4.692 120.00 90.00 90.00
Sites, in units of the cell vectors:
Cd: 0.167 0.000 0.000
Pt: 0.166 0.333 0.667
Dy: 0.667 0.667 0.333

Values from the calculation:
As for the energy: -13.60 eV for the cell shown. Its formation energy is -2.039 eV/f.u. As for the space group: P-6m2. The spin magnetization comes out at 0.00 μB/cell. The crystal system is hexagonal.